[1]
{
  "formula": "SmMg4Hg4",
  "functional": "GGA-PBE",
  "state": "relaxed",
  "lattice_angstrom": [[6.7441, 0.0000, 0.0000], [0.0000, 6.7441, 0.0000], [0.0000, 0.0000, 9.5505]],
  "species": ["Sm", "Sm", "Mg", "Mg", "Mg", "Mg", "Mg", "Mg", "Mg", "Mg", "Hg", "Hg", "Hg", "Hg", "Hg", "Hg", "Hg", "Hg"],
  "frac_coords": [[0.2500, 0.7500, 0.2500], [0.7500, 0.2500, 0.7500], [0.0262, 0.2500, 0.1648], [0.2500, 0.0262, 0.6648], [0.2500, 0.4738, 0.6648], [0.4738, 0.2500, 0.1648], [0.5262, 0.7500, 0.8352], [0.7500, 0.5262, 0.3352], [0.7500, 0.9738, 0.3352], [0.9738, 0.7500, 0.8352], [0.0177, 0.2500, 0.4657], [0.2500, 0.0177, 0.9657], [0.2500, 0.4823, 0.9657], [0.4823, 0.2500, 0.4657], [0.5177, 0.7500, 0.5343], [0.7500, 0.5177, 0.0343], [0.7500, 0.9823, 0.0343], [0.9823, 0.7500, 0.5343]],
  "ef_ev_per_atom": -0.2047
}


[2]
{
  "formula": "BaPmCdSi",
  "functional": "GGA-PBE",
  "state": "relaxed",
  "lattice_angstrom": [[0.0000, 3.8973, 3.8973], [3.8973, 0.0000, 3.8973], [3.8973, 3.8973, 0.0000]],
  "species": ["Ba", "Pm", "Cd", "Si"],
  "frac_coords": [[0.0000, 0.0000, 0.0000], [0.5000, 0.5000, 0.5000], [0.2500, 0.2500, 0.2500], [0.7500, 0.7500, 0.7500]],
  "formation_energy_uncorrected_ev_per_atom": -0.194
}


[3]
{
  "formula": "ThAg4Pd",
  "functional": "GGA-PBE",
  "state": "relaxed",
  "lattice_angstrom": [[0.0000, 3.9064, 3.9064], [3.9064, 0.0000, 3.9064], [3.9064, 3.9064, 0.0000]],
  "species": ["Th", "Ag", "Ag", "Ag", "Ag", "Pd"],
  "frac_coords": [[0.0000, 0.0000, 0.0000], [0.1274, 0.6242, 0.6242], [0.6242, 0.1274, 0.6242], [0.6242, 0.6242, 0.1274], [0.6242, 0.6242, 0.6242], [0.2500, 0.2500, 0.2500]],
  "ef_ev_per_atom": -0.1632
}


[4]
{
  "formula": "TcSnSbBrF",
  "functional": "GGA-PBE",
  "state": "relaxed",
  "lattice_angstrom": [[4.9817, -1.6158, 0.0000], [4.9817, 1.6158, 0.0000], [-2.5430, 0.0000, 7.8742]],
  "species": ["Tc", "Sn", "Sb", "Br", "F"],
  "frac_coords": [[0.0000, 0.0000, 0.0000], [0.2672, 0.2672, 0.9749], [0.4430, 0.4430, 0.7170], [0.5965, 0.5965, 0.2565], [0.2154, 0.2154, 0.6846]],
  "formation_energy_uncorrected_ev_per_atom": -0.570
}


[5]
{
  "formula": "GdZrAgHg",
  "functional": "GGA-PBE",
  "state": "relaxed",
  "lattice_angstrom": [[0.0000, 3.6036, 3.6036], [3.6036, 0.0000, 3.6036], [3.6036, 3.6036, 0.0000]],
  "species": ["Gd", "Zr", "Ag", "Hg"],
  "frac_coords": [[0.0000, 0.0000, 0.0000], [0.5000, 0.5000, 0.5000], [0.7500, 0.7500, 0.7500], [0.2500, 0.2500, 0.2500]],
  "ef_ev_per_atom": -0.1706
}


[6]
{
  "formula": "K2ReIr",
  "functional": "GGA-PBE",
  "state": "relaxed",
  "lattice_angstrom": [[2.7862, 0.0000, 0.0000], [0.0000, 5.2363, 0.0000], [0.0000, 0.0000, 5.6733]],
  "species": ["K", "K", "Re", "Ir"],
  "frac_coords": [[0.0000, 0.2486, 0.0000], [0.0000, 0.7514, 0.0000], [0.5000, 0.5000, 0.5000], [0.5000, 0.0000, 0.5000]],
  "ef_ev_per_atom": 1.2130
}


[7]
{
  "formula": "UTiCl6",
  "functional": "GGA-PBE",
  "state": "relaxed",
  "lattice_angstrom": [[3.1815, -6.3134, 0.0000], [3.1815, 6.3134, 0.0000], [-1.9146, 0.0000, 6.0554]],
  "species": ["U", "Ti", "Cl", "Cl", "Cl", "Cl", "Cl", "Cl"],
  "frac_coords": [[0.0000, 0.0000, 0.0000], [0.5000, 0.5000, 0.5000], [0.1296, 0.4098, 0.2674], [0.2600, 0.2600, 0.7377], [0.4098, 0.1296, 0.2674], [0.5902, 0.8704, 0.7326], [0.7400, 0.7400, 0.2623], [0.8704, 0.5902, 0.7326]],
  "formation_energy_uncorrected_ev_per_atom": -1.627
}


[8]
{
  "formula": "HIr3Br",
  "functional": "GGA-PBE",
  "state": "relaxed",
  "lattice_angstrom": [[4.0531, 0.0000, 0.0000], [0.0000, 4.0531, 0.0000], [0.0000, 0.0000, 4.0531]],
  "species": ["H", "Ir", "Ir", "Ir", "Br"],
  "frac_coords": [[0.0000, 0.0000, 0.0000], [0.0000, 0.0000, 0.5000], [0.0000, 0.5000, 0.0000], [0.5000, 0.0000, 0.0000], [0.5000, 0.5000, 0.5000]],
  "total_energy_ev_per_atom": -5.263
}


[9]
{
  "formula": "V2Mo3H4",
  "functional": "GGA-PBE",
  "state": "relaxed",
  "lattice_angstrom": [[6.0335, -4.5847, 0.0000], [6.0335, 4.5847, 0.0000], [-0.0844, 0.0000, 3.1084]],
  "species": ["V", "V", "V", "V", "Mo", "Mo", "Mo", "Mo", "Mo", "Mo", "H", "H", "H", "H", "H", "H", "H", "H"],
  "frac_coords": [[0.0859, 0.3243, 0.3452], [0.3243, 0.0859, 0.8452], [0.6757, 0.9141, 0.1548], [0.9141, 0.6757, 0.6548], [0.1286, 0.8714, 0.2500], [0.2838, 0.5236, 0.9464], [0.4764, 0.7162, 0.5536], [0.5236, 0.2838, 0.4464], [0.7162, 0.4764, 0.0536], [0.8714, 0.1286, 0.7500], [0.0833, 0.2154, 0.8392], [0.1329, 0.5424, 0.4469], [0.2154, 0.0833, 0.3392], [0.4576, 0.8671, 0.0531], [0.5424, 0.1329, 0.9469], [0.7846, 0.9167, 0.6608], [0.8671, 0.4576, 0.5531], [0.9167, 0.7846, 0.1608]],
  "total_energy_ev_per_atom": -7.075
}


[10]
{
  "formula": "TbSiPd2",
  "functional": "GGA-PBE",
  "state": "relaxed",
  "lattice_angstrom": [[2.1501, 1.2413, 4.6658], [-2.1501, 1.2413, 4.6658], [0.0000, -2.4827, 4.6658]],
  "species": ["Tb", "Si", "Pd", "Pd"],
  "frac_coords": [[0.0000, 0.0000, 0.0000], [0.5000, 0.5000, 0.5000], [0.2119, 0.2119, 0.2119], [0.7881, 0.7881, 0.7881]],
  "formation_energy_uncorrected_ev_per_atom": -0.810
}


[11]
{
  "formula": "TbPaB2Rh5",
  "functional": "GGA-PBE",
  "state": "relaxed",
  "lattice_angstrom": [[4.1501, 0.0000, 0.0000], [0.0000, 4.1501, 0.0000], [0.0000, 0.0000, 8.2217]],
  "species": ["Tb", "Pa", "B", "B", "Rh", "Rh", "Rh", "Rh", "Rh"],
  "frac_coords": [[0.0000, 0.0000, 0.0000], [0.0000, 0.0000, 0.5000], [0.5000, 0.5000, 0.2846], [0.5000, 0.5000, 0.7154], [0.0000, 0.5000, 0.2576], [0.0000, 0.5000, 0.7424], [0.5000, 0.0000, 0.2576], [0.5000, 0.0000, 0.7424], [0.5000, 0.5000, 0.0000]],
  "ef_ev_per_atom": -0.7034
}


[12]
{
  "formula": "Tb2FePt",
  "functional": "GGA-PBE",
  "state": "relaxed",
  "lattice_angstrom": [[3.4719, 0.0000, 0.0000], [0.0000, 3.4719, 0.0000], [0.0000, 0.0000, 6.8471]],
  "species": ["Tb", "Tb", "Fe", "Pt"],
  "frac_coords": [[0.0000, 0.0000, 0.2450], [0.0000, 0.0000, 0.7550], [0.5000, 0.5000, 0.0000], [0.5000, 0.5000, 0.5000]],
  "ef_ev_per_atom": -0.5250
}